(1)
Here is Gd3Y13O24 after structural relaxation from Alexandria. Energies are from PBEsol.

Output
E_form (uncorrected), meV per atom: -3612

Unit cell a=9.153 b=9.162 c=9.162 alpha=70.50 beta=70.54 gamma=109.49
Each line ends with the local moment (μB).
Element x y z (fractional)
1 O 0.761 0.969 0.510  0.00
2 O 0.021 0.530 0.205  0.00
3 Y 0.248 0.001 0.251  0.00
4 Y 0.783 0.283 0.001  0.00
5 O 0.239 0.729 0.792  0.00
6 Gd 0.532 0.750 0.218  6.88
7 O 0.781 0.542 0.979  0.00
8 Y 0.752 0.501 0.248  0.00
9 O 0.292 0.011 0.478  0.00
10 O 0.480 0.466 0.292  0.00
11 Y 0.500 0.467 0.033  0.00
12 O 0.794 0.772 0.218  0.00
13 O 0.281 0.764 0.258  -0.01
14 Y 0.750 0.998 0.749  0.00
15 O 0.510 0.728 0.977  0.00
16 Y 0.967 0.249 0.283  0.00
17 O 0.490 0.513 0.781  0.00
18 Y 0.033 0.750 0.718  0.00
19 O 0.523 0.040 0.739  0.00
20 O 0.979 0.957 0.761  0.00
21 O 0.219 0.239 0.239  0.00
22 Y 0.000 0.034 0.966  0.00
23 Y 0.282 0.783 0.999  0.00
24 Y 0.217 0.216 0.500  0.00
25 O 0.477 0.739 0.483  0.00
26 O 0.708 0.230 0.281  0.00
27 O 0.979 0.773 0.491  0.00
28 O 0.206 0.987 0.023  0.00
29 O 0.520 0.228 0.014  0.00
30 O 0.989 0.267 0.522  0.00
31 O 0.021 0.260 0.022  0.00
32 Y 0.250 0.500 0.753  0.00
33 Gd 0.468 0.250 0.782  6.88
34 O 0.258 0.273 0.708  0.00
35 O 0.742 0.034 0.985  0.00
36 O 0.719 0.461 0.517  -0.01
37 Y 0.500 0.967 0.533  0.00
38 O 0.011 0.489 0.722  0.00
39 Gd 0.000 0.532 0.468  6.88
40 Y 0.718 0.718 0.500  0.00

---

(2)
Here is CaMnSe after structural relaxation from Alexandria. Energies are from PBEsol.

Output
E_form (uncorrected), meV per atom: 180

Unit cell a=4.819 b=4.819 c=4.819 alpha=60.00 beta=60.00 gamma=60.00
Each line ends with the local moment (μB).
Element x y z (fractional)
1 Se 0.500 0.500 0.500  0.11
2 Ca 0.250 0.250 0.250  0.02
3 Mn 0.000 0.000 0.000  4.23

---

(3)
Here is SrNiP2 after structural relaxation from Alexandria. Energies are from PBEsol.

Output
Formation energy, meV per atom: -670

Unit cell a=3.710 b=5.463 c=4.380 alpha=106.37 beta=90.00 gamma=109.85
Element x y z (fractional)
1 Sr 0.450 0.900 0.442
2 P 0.134 0.269 0.242
3 Ni 0.688 0.376 0.031
4 P 0.227 0.455 0.785

---

(4)
Here is Cs2PtS6O18F6 after structural relaxation from Alexandria. Energies are from PBEsol.

Output
E_form (uncorrected), meV per atom: -1509

Unit cell a=8.274 b=9.270 c=9.270 alpha=120.00 beta=90.00 gamma=90.00
Element x y z (fractional)
1 O 0.258 0.288 0.942
2 Pt 0.000 0.000 0.000
3 F 0.927 0.543 0.705
4 Cs 0.618 0.667 0.333
5 S 0.222 0.890 0.222
6 S 0.778 0.222 0.890
7 O 0.849 0.132 0.193
8 F 0.927 0.295 0.838
9 O 0.258 0.655 0.712
10 F 0.073 0.838 0.295
11 O 0.339 0.761 0.176
12 S 0.222 0.778 0.668
13 F 0.927 0.162 0.457
14 S 0.778 0.668 0.778
15 S 0.222 0.332 0.110
16 F 0.073 0.457 0.162
17 O 0.742 0.942 0.288
18 O 0.151 0.938 0.807
19 Cs 0.382 0.333 0.667
20 O 0.742 0.712 0.655
21 O 0.339 0.416 0.239
22 S 0.778 0.110 0.332
23 O 0.151 0.193 0.132
24 O 0.849 0.062 0.868
25 O 0.661 0.584 0.824
26 O 0.661 0.176 0.761
27 O 0.661 0.239 0.416
28 O 0.151 0.868 0.062
29 O 0.339 0.824 0.584
30 F 0.073 0.705 0.543
31 O 0.258 0.058 0.345
32 O 0.849 0.807 0.938
33 O 0.742 0.345 0.058

---

(5)
Here is CdHgAs2 after structural relaxation from Alexandria. Energies are from PBEsol.

Output
Formation energy, meV per atom: 47

Unit cell a=3.537 b=4.774 c=6.282 alpha=112.72 beta=106.35 gamma=90.00
Element x y z (fractional)
1 Cd 0.000 0.000 0.000
2 As 0.753 0.826 0.507
3 As 0.247 0.174 0.493
4 Hg 0.500 0.500 0.000

---

(6)
Here is La2MoO6 after structural relaxation from Alexandria. Energies are from PBEsol.

Output
E_form (uncorrected), meV per atom: -2889

Unit cell a=4.249 b=4.249 c=8.598 alpha=104.31 beta=104.31 gamma=90.00
Element x y z (fractional)
1 O 0.201 0.201 0.867
2 O 0.334 0.799 0.133
3 O 0.750 0.250 0.500
4 Mo 0.500 0.500 0.000
5 La 0.180 0.180 0.360
6 O 0.250 0.750 0.500
7 La 0.820 0.820 0.640
8 O 0.666 0.666 0.867
9 O 0.799 0.334 0.133

---

(7)
Here is Li3HgPt after structural relaxation from Alexandria. Energies are from PBEsol.

Output
Formation energy, meV per atom: -65

Unit cell a=4.675 b=4.675 c=4.675 alpha=90.00 beta=90.00 gamma=90.00
Element x y z (fractional)
1 Pt 0.000 0.000 0.000
2 Hg 0.500 0.500 0.500
3 Li 0.000 0.500 0.000
4 Li 0.000 0.000 0.500
5 Li 0.500 0.000 0.000

---

(8)
Here is AgTe2NCl after structural relaxation from Alexandria. Energies are from PBEsol.

Output
E_form (uncorrected), meV per atom: 1242

Unit cell a=3.283 b=5.827 c=5.827 alpha=90.00 beta=90.00 gamma=90.00
Element x y z (fractional)
1 Cl 0.000 0.000 0.000
2 N 0.500 0.000 0.000
3 Te 0.000 0.500 0.000
4 Te 0.000 0.000 0.500
5 Ag 0.500 0.500 0.500